Record 1
Compound: TaInGa2
Source: Alexandria via LeMat-Bulk
Functional: PBE-GGA
Structure: optimized geometry

* uncorrected energy: -5.113 eV per atom
* crystal system: trigonal

```
data_TaInGa2
_symmetry_space_group_name_H-M 'R -3 m'
_symmetry_Int_Tables_number 166
_symmetry_space_group_name_Hall '-R 3 2"'
_cell_length_a 3.0677
_cell_length_b 3.0677
_cell_length_c 29.3712
_cell_angle_alpha 90.00
_cell_angle_beta 90.00
_cell_angle_gamma 120.00
loop_
_atom_site_label
_atom_site_fract_x
_atom_site_fract_y
_atom_site_fract_z
_atom_site_occupancy
Ta1 0.0000 0.0000 0.0000 1
In1 0.0000 0.0000 0.5000 1
Ga1 0.0000 0.0000 0.4072 1
```

Record 2
Compound: TaInGa3
Source: Alexandria via LeMat-Bulk
Functional: PBE-GGA
Structure: optimized geometry

* uncorrected energy: -3.332 eV per atom
* ΔE to the lowest computed polymorph: 925 meV per atom
* crystal system: cubic

```
data_TaInGa3
_symmetry_space_group_name_H-M 'P m -3 m'
_symmetry_Int_Tables_number 221
_symmetry_space_group_name_Hall '-P 4 2 3'
_cell_length_a 5.0244
_cell_length_b 5.0244
_cell_length_c 5.0244
_cell_angle_alpha 90.00
_cell_angle_beta 90.00
_cell_angle_gamma 90.00
loop_
_atom_site_label
_atom_site_fract_x
_atom_site_fract_y
_atom_site_fract_z
_atom_site_occupancy
Ta1 0.0000 0.0000 0.0000 1
In1 0.5000 0.5000 0.5000 1
Ga1 0.0000 0.5000 0.5000 1
```

Record 3
Compound: Ta3InGa
Source: Alexandria via LeMat-Bulk
Functional: PBE-GGA
Structure: optimized geometry

* uncorrected energy: -6.163 eV per atom
* ΔE to the lowest computed polymorph: 1040 meV per atom
* crystal system: cubic

```
data_Ta3InGa
_symmetry_space_group_name_H-M 'P m -3 m'
_symmetry_Int_Tables_number 221
_symmetry_space_group_name_Hall '-P 4 2 3'
_cell_length_a 4.9898
_cell_length_b 4.9898
_cell_length_c 4.9898
_cell_angle_alpha 90.00
_cell_angle_beta 90.00
_cell_angle_gamma 90.00
loop_
_atom_site_label
_atom_site_fract_x
_atom_site_fract_y
_atom_site_fract_z
_atom_site_occupancy
Ta1 0.0000 0.0000 0.5000 1
In1 0.0000 0.0000 0.0000 1
Ga1 0.5000 0.5000 0.5000 1
```

Record 4
Compound: TaInGa2
Source: Alexandria via LeMat-Bulk
Functional: PBE-GGA
Structure: optimized geometry

* uncorrected energy: -4.730 eV per atom
* crystal system: tetragonal

```
data_TaInGa2
_symmetry_space_group_name_H-M 'I -4 2 d'
_symmetry_Int_Tables_number 122
_symmetry_space_group_name_Hall 'I -4 2bw'
_cell_length_a 7.4931
_cell_length_b 7.4931
_cell_length_c 5.7569
_cell_angle_alpha 90.00
_cell_angle_beta 90.00
_cell_angle_gamma 90.00
loop_
_atom_site_label
_atom_site_fract_x
_atom_site_fract_y
_atom_site_fract_z
_atom_site_occupancy
Ta1 0.0000 0.0000 0.0000 1
In1 0.0000 0.0000 0.5000 1
Ga1 0.2387 0.2500 0.1250 1
```

Record 5
Compound: Ta2InGa2
Source: Alexandria via LeMat-Bulk
Functional: PBE-GGA
Structure: optimized geometry

* uncorrected energy: -6.364 eV per atom
* ΔE to the lowest computed polymorph: 0 meV per atom
* crystal system: tetragonal

```
data_Ta2InGa2
_symmetry_space_group_name_H-M 'P 4/m b m'
_symmetry_Int_Tables_number 127
_symmetry_space_group_name_Hall '-P 4 2ab'
_cell_length_a 7.4683
_cell_length_b 7.4683
_cell_length_c 3.4096
_cell_angle_alpha 90.00
_cell_angle_beta 90.00
_cell_angle_gamma 90.00
loop_
_atom_site_label
_atom_site_fract_x
_atom_site_fract_y
_atom_site_fract_z
_atom_site_occupancy
Ta1 0.1267 0.3733 0.0000 1
In1 0.0000 0.0000 0.0000 1
Ga1 0.1710 0.6710 0.5000 1
```

Record 6
Compound: TaInGa2Tc
Source: Alexandria via LeMat-Bulk
Functional: PBE-GGA
Structure: optimized geometry

* uncorrected energy: -5.287 eV per atom
* crystal system: tetragonal

```
data_TaInGa2Tc
_symmetry_space_group_name_H-M 'P 4/m m m'
_symmetry_Int_Tables_number 123
_symmetry_space_group_name_Hall '-P 4 2'
_cell_length_a 5.1288
_cell_length_b 5.1288
_cell_length_c 4.7897
_cell_angle_alpha 90.00
_cell_angle_beta 90.00
_cell_angle_gamma 90.00
loop_
_atom_site_label
_atom_site_fract_x
_atom_site_fract_y
_atom_site_fract_z
_atom_site_occupancy
Ta1 0.0000 0.0000 0.0000 1
In1 0.5000 0.5000 0.5000 1
Ga1 0.0000 0.5000 0.0000 1
Tc1 0.0000 0.0000 0.5000 1
```

Record 7
Compound: Ta2TlInGa
Source: Alexandria via LeMat-Bulk
Functional: PBE-GGA
Structure: optimized geometry

* uncorrected energy: -5.106 eV per atom
* crystal system: tetragonal

```
data_Ta2TlInGa
_symmetry_space_group_name_H-M 'P 4/m m m'
_symmetry_Int_Tables_number 123
_symmetry_space_group_name_Hall '-P 4 2'
_cell_length_a 4.8957
_cell_length_b 4.8957
_cell_length_c 5.0435
_cell_angle_alpha 90.00
_cell_angle_beta 90.00
_cell_angle_gamma 90.00
loop_
_atom_site_label
_atom_site_fract_x
_atom_site_fract_y
_atom_site_fract_z
_atom_site_occupancy
Ta1 0.0000 0.5000 0.0000 1
Tl1 0.0000 0.0000 0.5000 1
In1 0.5000 0.5000 0.5000 1
Ga1 0.0000 0.0000 0.0000 1
```

Record 8
Compound: Ta2InGaW
Source: Alexandria via LeMat-Bulk
Functional: PBE-GGA
Structure: optimized geometry

* uncorrected energy: -6.129 eV per atom
* crystal system: tetragonal

```
data_Ta2InGaW
_symmetry_space_group_name_H-M 'P 4/m m m'
_symmetry_Int_Tables_number 123
_symmetry_space_group_name_Hall '-P 4 2'
_cell_length_a 4.9900
_cell_length_b 4.9900
_cell_length_c 4.8790
_cell_angle_alpha 90.00
_cell_angle_beta 90.00
_cell_angle_gamma 90.00
loop_
_atom_site_label
_atom_site_fract_x
_atom_site_fract_y
_atom_site_fract_z
_atom_site_occupancy
Ta1 0.0000 0.5000 0.0000 1
In1 0.0000 0.0000 0.0000 1
Ga1 0.5000 0.5000 0.5000 1
W1 0.0000 0.0000 0.5000 1
```

Record 9
Compound: Zr2TaInGa
Source: Alexandria via LeMat-Bulk
Functional: PBE-GGA
Structure: optimized geometry

* uncorrected energy: -6.080 eV per atom
* crystal system: tetragonal

```
data_Zr2TaInGa
_symmetry_space_group_name_H-M 'P 4/m m m'
_symmetry_Int_Tables_number 123
_symmetry_space_group_name_Hall '-P 4 2'
_cell_length_a 5.1163
_cell_length_b 5.1163
_cell_length_c 5.3846
_cell_angle_alpha 90.00
_cell_angle_beta 90.00
_cell_angle_gamma 90.00
loop_
_atom_site_label
_atom_site_fract_x
_atom_site_fract_y
_atom_site_fract_z
_atom_site_occupancy
Zr1 0.0000 0.5000 0.0000 1
Ta1 0.0000 0.0000 0.0000 1
In1 0.0000 0.0000 0.5000 1
Ga1 0.5000 0.5000 0.5000 1
```

Record 10
Compound: Tb2In3Ga3
Source: Alexandria via LeMat-Bulk
Functional: PBE-GGA
Structure: optimized geometry

* uncorrected energy: -3.782 eV per atom
* crystal system: orthorhombic

```
data_Tb2In3Ga3
_symmetry_space_group_name_H-M 'P m m m'
_symmetry_Int_Tables_number 47
_cell_length_a 4.3761
_cell_length_b 4.4761
_cell_length_c 9.1823
_cell_angle_alpha 90.00
_cell_angle_beta 90.00
_cell_angle_gamma 90.00
loop_
_symmetry_equiv_pos_as_xyz
'x,y,z'
'-x,-y,-z'
'-x,-y,z'
'x,y,-z'
'x,-y,-z'
'-x,y,z'
'-x,y,-z'
'x,-y,z'
loop_
_atom_site_label
_atom_site_fract_x
_atom_site_fract_y
_atom_site_fract_z
_atom_site_occupancy
Tb1 0.0000 0.0000 0.2423 1
In1 0.0000 0.5000 0.0000 1
In2 0.0000 0.5000 0.5000 1
In3 0.5000 0.0000 0.5000 1
Ga1 0.5000 0.0000 0.0000 1
Ga2 0.5000 0.5000 0.2417 1
```

Record 11
Compound: Tb4InGa
Source: Alexandria via LeMat-Bulk
Functional: PBE-GGA
Structure: optimized geometry

* uncorrected energy: -4.215 eV per atom
* crystal system: tetragonal

```
data_Tb4InGa
_symmetry_space_group_name_H-M 'P 4/m m m'
_symmetry_Int_Tables_number 123
_symmetry_space_group_name_Hall '-P 4 2'
_cell_length_a 5.0754
_cell_length_b 5.0754
_cell_length_c 7.2461
_cell_angle_alpha 90.00
_cell_angle_beta 90.00
_cell_angle_gamma 90.00
loop_
_atom_site_label
_atom_site_fract_x
_atom_site_fract_y
_atom_site_fract_z
_atom_site_occupancy
Tb1 0.0000 0.5000 0.2382 1
In1 0.0000 0.0000 0.5000 1
Ga1 0.5000 0.5000 0.0000 1
```

Record 12
Compound: Tb3InGa2
Source: Alexandria via LeMat-Bulk
Functional: PBE-GGA
Structure: optimized geometry

* uncorrected energy: -4.326 eV per atom
* crystal system: tetragonal

```
data_Tb3InGa2
_symmetry_space_group_name_H-M 'P 4/m m m'
_symmetry_Int_Tables_number 123
_symmetry_space_group_name_Hall '-P 4 2'
_cell_length_a 3.6051
_cell_length_b 3.6051
_cell_length_c 11.2462
_cell_angle_alpha 90.00
_cell_angle_beta 90.00
_cell_angle_gamma 90.00
loop_
_atom_site_label
_atom_site_fract_x
_atom_site_fract_y
_atom_site_fract_z
_atom_site_occupancy
Tb1 0.0000 0.0000 0.0000 1
Tb2 0.0000 0.0000 0.3189 1
In1 0.5000 0.5000 0.5000 1
Ga1 0.5000 0.5000 0.1599 1
```

Record 13
Compound: Tb11In9Ga4
Source: Alexandria via LeMat-Bulk
Functional: PBE-GGA
Structure: optimized geometry

* uncorrected energy: -4.159 eV per atom
* crystal system: orthorhombic

```
data_Tb11In9Ga4
_symmetry_space_group_name_H-M 'C m m m'
_symmetry_Int_Tables_number 65
_symmetry_space_group_name_Hall '-C 2 2'
_cell_length_a 14.5975
_cell_length_b 22.1369
_cell_length_c 3.7665
_cell_angle_alpha 90.00
_cell_angle_beta 90.00
_cell_angle_gamma 90.00
loop_
_atom_site_label
_atom_site_fract_x
_atom_site_fract_y
_atom_site_fract_z
_atom_site_occupancy
Tb1 0.0000 0.0000 0.0000 1
Tb2 0.0000 0.1638 0.0000 1
Tb3 0.0000 0.3704 0.0000 1
Tb4 0.1990 0.5000 0.0000 1
Tb5 0.2368 0.1741 0.0000 1
In1 0.0000 0.5000 0.5000 1
In2 0.1065 0.2641 0.5000 1
In3 0.1396 0.0746 0.5000 1
Ga1 0.1529 0.4000 0.5000 1
```

Record 14
Compound: Tb3In2Ga
Source: Alexandria via LeMat-Bulk
Functional: PBE-GGA
Structure: optimized geometry

* uncorrected energy: -4.240 eV per atom
* ΔE to the lowest computed polymorph: 0 meV per atom
* crystal system: tetragonal

```
data_Tb3In2Ga
_symmetry_space_group_name_H-M 'P 4/m m m'
_symmetry_Int_Tables_number 123
_symmetry_space_group_name_Hall '-P 4 2'
_cell_length_a 3.6617
_cell_length_b 3.6617
_cell_length_c 11.4676
_cell_angle_alpha 90.00
_cell_angle_beta 90.00
_cell_angle_gamma 90.00
loop_
_atom_site_label
_atom_site_fract_x
_atom_site_fract_y
_atom_site_fract_z
_atom_site_occupancy
Tb1 0.0000 0.0000 0.0000 1
Tb2 0.0000 0.0000 0.3461 1
In1 0.5000 0.5000 0.1723 1
Ga1 0.5000 0.5000 0.5000 1
```

Record 15
Compound: Tb5InGa2
Source: Alexandria via LeMat-Bulk
Functional: PBE-GGA
Structure: optimized geometry

* uncorrected energy: -4.463 eV per atom
* crystal system: tetragonal

```
data_Tb5InGa2
_symmetry_space_group_name_H-M 'I 4/m c m'
_symmetry_Int_Tables_number 140
_symmetry_space_group_name_Hall '-I 4 2c'
_cell_length_a 7.7776
_cell_length_b 7.7776
_cell_length_c 14.4367
_cell_angle_alpha 90.00
_cell_angle_beta 90.00
_cell_angle_gamma 90.00
loop_
_atom_site_label
_atom_site_fract_x
_atom_site_fract_y
_atom_site_fract_z
_atom_site_occupancy
Tb1 0.0000 0.0000 0.0000 1
Tb2 0.1679 0.3321 0.1439 1
In1 0.0000 0.0000 0.2500 1
Ga1 0.1232 0.3768 0.5000 1
```

Record 16
Compound: TbInGa2
Source: Alexandria via LeMat-Bulk
Functional: PBE-GGA
Structure: optimized geometry

* uncorrected energy: -3.671 eV per atom
* ΔE to the lowest computed polymorph: 163 meV per atom
* crystal system: trigonal

```
data_TbInGa2
_symmetry_space_group_name_H-M 'R -3 m'
_symmetry_Int_Tables_number 166
_symmetry_space_group_name_Hall '-R 3 2"'
_cell_length_a 4.5240
_cell_length_b 4.5240
_cell_length_c 15.3674
_cell_angle_alpha 90.00
_cell_angle_beta 90.00
_cell_angle_gamma 120.00
loop_
_atom_site_label
_atom_site_fract_x
_atom_site_fract_y
_atom_site_fract_z
_atom_site_occupancy
Tb1 0.0000 0.0000 0.0000 1
In1 0.0000 0.0000 0.5000 1
Ga1 0.0000 0.0000 0.2361 1
```

Record 17
Compound: Tb3InGa
Source: Alexandria via LeMat-Bulk
Functional: PBE-GGA
Structure: optimized geometry

* uncorrected energy: -4.199 eV per atom
* crystal system: hexagonal

```
data_Tb3InGa
_symmetry_space_group_name_H-M 'P 63/m m c'
_symmetry_Int_Tables_number 194
_symmetry_space_group_name_Hall '-P 6c 2c'
_cell_length_a 7.9283
_cell_length_b 7.9283
_cell_length_c 5.2777
_cell_angle_alpha 90.00
_cell_angle_beta 90.00
_cell_angle_gamma 120.00
loop_
_atom_site_label
_atom_site_fract_x
_atom_site_fract_y
_atom_site_fract_z
_atom_site_occupancy
Tb1 0.1891 0.3782 0.2500 1
In1 0.3333 0.6667 0.7500 1
Ga1 0.0000 0.0000 0.0000 1
```

Record 18
Compound: Tb6InGa
Source: Alexandria via LeMat-Bulk
Functional: PBE-GGA
Structure: optimized geometry

* uncorrected energy: -4.446 eV per atom
* crystal system: tetragonal

```
data_Tb6InGa
_symmetry_space_group_name_H-M 'P 4/m m m'
_symmetry_Int_Tables_number 123
_symmetry_space_group_name_Hall '-P 4 2'
_cell_length_a 4.8061
_cell_length_b 4.8061
_cell_length_c 9.5932
_cell_angle_alpha 90.00
_cell_angle_beta 90.00
_cell_angle_gamma 90.00
loop_
_atom_site_label
_atom_site_fract_x
_atom_site_fract_y
_atom_site_fract_z
_atom_site_occupancy
Tb1 0.0000 0.0000 0.0000 1
Tb2 0.0000 0.0000 0.5000 1
Tb3 0.0000 0.5000 0.2419 1
In1 0.5000 0.5000 0.5000 1
Ga1 0.5000 0.5000 0.0000 1
```

Record 19
Compound: Tb4In5Ga2
Source: Alexandria via LeMat-Bulk
Functional: PBE-GGA
Structure: optimized geometry

* uncorrected energy: -3.954 eV per atom
* crystal system: monoclinic

```
data_Tb4In5Ga2
_symmetry_space_group_name_H-M 'P 1 2/m 1'
_symmetry_Int_Tables_number 10
_cell_length_a 7.8202
_cell_length_b 3.6017
_cell_length_c 9.7998
_cell_angle_alpha 90.00
_cell_angle_beta 94.93
_cell_angle_gamma 90.00
loop_
_symmetry_equiv_pos_as_xyz
'x,y,z'
'-x,-y,-z'
'-x,y,-z'
'x,-y,z'
loop_
_atom_site_label
_atom_site_fract_x
_atom_site_fract_y
_atom_site_fract_z
_atom_site_occupancy
Tb1 0.1792 0.0000 0.3688 1
Tb2 0.2527 0.0000 0.9356 1
In1 0.1746 0.5000 0.6544 1
In2 0.4475 0.5000 0.1873 1
In3 0.5000 0.5000 0.5000 1
Ga1 0.0666 0.5000 0.1282 1
```

Record 20
Compound: TbIn2Ga
Source: Alexandria via LeMat-Bulk
Functional: PBE-GGA
Structure: optimized geometry

* uncorrected energy: -3.729 eV per atom
* ΔE to the lowest computed polymorph: 0 meV per atom
* crystal system: tetragonal

```
data_TbIn2Ga
_symmetry_space_group_name_H-M 'P 4/m m m'
_symmetry_Int_Tables_number 123
_symmetry_space_group_name_Hall '-P 4 2'
_cell_length_a 4.4755
_cell_length_b 4.4755
_cell_length_c 4.6758
_cell_angle_alpha 90.00
_cell_angle_beta 90.00
_cell_angle_gamma 90.00
loop_
_atom_site_label
_atom_site_fract_x
_atom_site_fract_y
_atom_site_fract_z
_atom_site_occupancy
Tb1 0.0000 0.0000 0.0000 1
In1 0.0000 0.5000 0.5000 1
Ga1 0.5000 0.5000 0.0000 1
```